1.
# TbThHg

TbThHg after structural relaxation (GGA-PBE, Alexandria via LeMat-Bulk). Values from VASP.

Formation energy in meV per atom: -216
Density of states at the Fermi level in states/eV/atom: 0.79
Energy above the lowest structure with this stoichiometry in eV per formula unit: 0.03
ρ in Mg/m³: 11.22
SG: I4mm (107)

```
&SYSTEM
  ibrav = 0, nat = 3, ntyp = 3
/
ATOMIC_SPECIES
Tb 158.93 Tb.upf
Th 232.04 Th.upf
Hg 200.59 Hg.upf
CELL_PARAMETERS angstrom
-1.821 1.821 6.599
1.821 -1.821 6.599
1.821 1.821 -6.599
ATOMIC_POSITIONS angstrom
Tb 0.000 0.000 0.000
Th 0.000 0.000 9.083
Hg 0.000 0.000 4.715
```

2.
# TbThHg2

TbThHg2 after structural relaxation (GGA-PBE, Alexandria via LeMat-Bulk). Values from VASP.

Formation energy in meV per atom: -220
Density of states at the Fermi level in states/eV/atom: 1.08
ρ in Mg/m³: 11.52
SG: R-3m (166)

```
&SYSTEM
  ibrav = 0, nat = 4, ntyp = 3
/
ATOMIC_SPECIES
Tb 158.93 Tb.upf
Th 232.04 Th.upf
Hg 200.59 Hg.upf
CELL_PARAMETERS angstrom
1.829 1.056 9.854
-1.829 1.056 9.854
0.000 -2.112 9.854
ATOMIC_POSITIONS angstrom
Tb 0.000 0.000 0.000
Th 0.000 0.000 14.782
Hg 0.000 0.000 7.515
Hg 0.000 0.000 22.049
```

3.
# TbTh3Hg7

TbTh3Hg7 after structural relaxation (GGA-PBE, Alexandria via LeMat-Bulk). Values from VASP.

Formation energy in meV per atom: -181
Density of states at the Fermi level in states/eV/atom: 0.68
ρ in Mg/m³: 12.61
SG: Cmcm (63)

```
&SYSTEM
  ibrav = 0, nat = 22, ntyp = 3
/
ATOMIC_SPECIES
Tb 158.93 Tb.upf
Th 232.04 Th.upf
Hg 200.59 Hg.upf
CELL_PARAMETERS angstrom
1.757 -11.066 0.000
1.757 11.066 0.000
0.000 0.000 15.299
ATOMIC_POSITIONS angstrom
Tb 1.757 10.448 11.475
Tb 1.757 -10.448 3.825
Th 1.757 8.520 0.524
Th 1.757 8.520 7.126
Th 1.757 5.632 11.475
Th 1.757 -5.632 3.825
Th 1.757 -8.520 8.173
Th 1.757 -8.520 14.776
Hg 1.757 5.458 1.172
Hg 1.757 5.458 6.478
Hg 1.757 2.845 2.342
Hg 1.757 2.845 5.307
Hg 1.757 2.384 11.475
Hg 1.757 0.036 1.416
Hg 1.757 0.036 6.234
Hg 1.757 -0.036 9.066
Hg 1.757 -0.036 13.884
Hg 1.757 -2.384 3.825
Hg 1.757 -2.845 9.992
Hg 1.757 -2.845 12.957
Hg 1.757 -5.458 8.821
Hg 1.757 -5.458 14.128
```

4.
# Tb2ThHg3

Tb2ThHg3 after structural relaxation (GGA-PBE, Alexandria via LeMat-Bulk). Values from VASP.

Formation energy in meV per atom: -383
Density of states at the Fermi level in states/eV/atom: 1.36
ρ in Mg/m³: 11.97
SG: P4/mmm (123)

```
&SYSTEM
  ibrav = 0, nat = 6, ntyp = 3
/
ATOMIC_SPECIES
Tb 158.93 Tb.upf
Th 232.04 Th.upf
Hg 200.59 Hg.upf
CELL_PARAMETERS angstrom
3.699 0.000 0.000
0.000 3.699 0.000
0.000 0.000 11.675
ATOMIC_POSITIONS angstrom
Tb 0.000 0.000 1.887
Tb 0.000 0.000 9.788
Th 0.000 0.000 5.837
Hg 1.850 1.850 0.000
Hg 1.850 1.850 3.717
Hg 1.850 1.850 7.958
```

Repeat the fourth record exactly.
# Tb2ThHg3

Tb2ThHg3 after structural relaxation (GGA-PBE, Alexandria via LeMat-Bulk). Values from VASP.

Formation energy in meV per atom: -383
Density of states at the Fermi level in states/eV/atom: 1.36
ρ in Mg/m³: 11.97
SG: P4/mmm (123)

```
&SYSTEM
  ibrav = 0, nat = 6, ntyp = 3
/
ATOMIC_SPECIES
Tb 158.93 Tb.upf
Th 232.04 Th.upf
Hg 200.59 Hg.upf
CELL_PARAMETERS angstrom
3.699 0.000 0.000
0.000 3.699 0.000
0.000 0.000 11.675
ATOMIC_POSITIONS angstrom
Tb 0.000 0.000 1.887
Tb 0.000 0.000 9.788
Th 0.000 0.000 5.837
Hg 1.850 1.850 0.000
Hg 1.850 1.850 3.717
Hg 1.850 1.850 7.958
```